[1]
This record from the Alexandria database describes a PBEsol-optimized structure of Li2InW. The functional is SCAN.

a b c (Å): 6.9433 6.9433 5.4391
angles (deg): 90.00 90.00 90.00
Space group I-42d (No. 122)
Asymmetric unit:
Li: 0.2419 0.7500 0.1250 (multiplicity 8)
In: 0.0000 0.0000 0.0000 (multiplicity 4)
W: 0.0000 0.0000 0.5000 (multiplicity 4)

The formation energy is 0.934 eV per atom. The value obtained for the spin magnetization is 4.43 μB per cell.



[2]
This record from the Alexandria database describes a PBEsol-optimized structure of Mn2FeOs. The functional is SCAN.

a b c (Å): 8.3191 2.5615 4.3790
angles (deg): 90.00 100.62 90.00
Space group Cm (No. 8)
Asymmetric unit:
Mn: 0.0000 0.0000 0.0000 (multiplicity 2)
Mn: 0.2452 0.5000 0.2234 (multiplicity 2)
Fe: 0.4947 0.0000 0.4767 (multiplicity 2)
Os: 0.2455 0.0000 0.7198 (multiplicity 2)

The formation energy is 0.013 eV per atom. The value obtained for the spin magnetization is 2.13 μB per cell.



[3]
This record from the Alexandria database describes a PBEsol-optimized structure of B13H19. The functional is SCAN.

a b c (Å): 8.9464 6.3568 18.9914
angles (deg): 90.00 96.84 90.00
Space group P2_1/c (No. 14)
Asymmetric unit:
B: 0.0159 0.0418 0.3576 (multiplicity 4)
B: 0.0509 0.6885 0.6346 (multiplicity 4)
B: 0.0798 0.6777 0.2138 (multiplicity 4)
B: 0.0925 0.2021 0.4332 (multiplicity 4)
B: 0.1012 0.0349 0.9079 (multiplicity 4)
B: 0.2107 0.0519 0.3875 (multiplicity 4)
B: 0.2121 0.6459 0.6919 (multiplicity 4)
B: 0.2365 0.6575 0.6008 (multiplicity 4)
B: 0.2613 0.1941 0.9143 (multiplicity 4)
B: 0.2755 0.6080 0.2288 (multiplicity 4)
B: 0.3383 0.6110 0.0858 (multiplicity 4)
B: 0.3666 0.0306 0.6646 (multiplicity 4)
B: 0.3795 0.7407 0.1653 (multiplicity 4)
H: 0.0112 0.7193 0.2630 (multiplicity 4)
H: 0.0198 0.0032 0.8479 (multiplicity 4)
H: 0.0387 0.1172 0.6218 (multiplicity 4)
H: 0.0684 0.1596 0.4924 (multiplicity 4)
H: 0.0938 0.6097 0.4474 (multiplicity 4)
H: 0.1343 0.0043 0.3238 (multiplicity 4)
H: 0.1972 0.6776 0.0602 (multiplicity 4)
H: 0.2238 0.0180 0.8747 (multiplicity 4)
H: 0.2324 0.0215 0.2216 (multiplicity 4)
H: 0.2472 0.0776 0.6992 (multiplicity 4)
H: 0.2554 0.5102 0.5635 (multiplicity 4)
H: 0.2848 0.0801 0.6026 (multiplicity 4)
H: 0.2885 0.5929 0.9088 (multiplicity 4)
H: 0.2977 0.1938 0.3582 (multiplicity 4)
H: 0.3349 0.5847 0.2885 (multiplicity 4)
H: 0.3735 0.1565 0.9530 (multiplicity 4)
H: 0.4105 0.5851 0.0374 (multiplicity 4)
H: 0.4641 0.1592 0.6759 (multiplicity 4)
H: 0.4969 0.6708 0.6810 (multiplicity 4)

The total energy comes out at -5.15 eV per atom. The value obtained for the spin magnetization is 0.00 μB per cell.



[4]
This record from the Alexandria database describes a PBEsol-optimized structure of FeCoW2. The functional is SCAN.

a b c (Å): 2.6781 3.5823 5.3258
angles (deg): 90.00 90.00 90.00
Space group Pmmm (No. 47)
Asymmetric unit:
Fe: 0.0000 0.0000 0.0000 (multiplicity 1)
Co: 0.0000 0.0000 0.5000 (multiplicity 1)
W: 0.5000 0.5000 0.2478 (multiplicity 2)

The formation energy is 0.270 eV per atom. The value obtained for the polymorph energy (0 for the lowest one) is 0 meV per atom. The value obtained for the spin magnetization is 0.00 μB per cell.



[5]
This record from the Alexandria database describes a PBEsol-optimized structure of K2PtAu. The functional is SCAN.

a b c (Å): 7.4294 7.4294 7.4294
angles (deg): 90.00 90.00 90.00
Space group Fm-3m (No. 225)
Asymmetric unit:
K: 0.2500 0.2500 0.2500 (multiplicity 8)
Pt: 0.0000 0.0000 0.0000 (multiplicity 4)
Au: 0.0000 0.0000 0.5000 (multiplicity 4)

The formation energy is 0.185 eV per atom. The value obtained for the polymorph energy (0 for the lowest one) is 204 meV per atom. The value obtained for the spin magnetization is 0.00 μB per cell.



[6]
This record from the Alexandria database describes a PBEsol-optimized structure of ZrScTl2. The functional is SCAN.

a b c (Å): 3.2172 4.2328 6.4099
angles (deg): 90.00 90.00 90.00
Space group Pmmm (No. 47)
Asymmetric unit:
Zr: 0.0000 0.0000 0.0000 (multiplicity 1)
Sc: 0.0000 0.0000 0.5000 (multiplicity 1)
Tl: 0.5000 0.5000 0.2526 (multiplicity 2)

The formation energy is -0.355 eV per atom. The value obtained for the spin magnetization is 0.74 μB per cell.



[7]
This record from the Alexandria database describes a PBEsol-optimized structure of ZrTcP2Cl. The functional is SCAN.

a b c (Å): 4.5156 4.5156 4.6421
angles (deg): 90.00 90.00 90.00
Space group P4/mmm (No. 123)
Asymmetric unit:
Zr: 0.0000 0.0000 0.0000 (multiplicity 1)
Tc: 0.5000 0.5000 0.5000 (multiplicity 1)
P: 0.0000 0.5000 0.5000 (multiplicity 2)
Cl: 0.5000 0.5000 0.0000 (multiplicity 1)

The value obtained for the spin magnetization is 1.84 μB per cell. Its formation energy (no corrections) is 0.249 eV per atom.



[8]
This record from the Alexandria database describes a PBEsol-optimized structure of Na2AlBi2. The functional is SCAN.

a b c (Å): 9.1001 9.1001 3.2626
angles (deg): 90.00 90.00 90.00
Space group P4/mbm (No. 127)
Asymmetric unit:
Na: 0.1200 0.3800 0.0000 (multiplicity 4)
Al: 0.0000 0.0000 0.5000 (multiplicity 2)
Bi: 0.1801 0.6801 0.5000 (multiplicity 4)

The formation energy is -0.008 eV per atom. The value obtained for the spin magnetization is 0.00 μB per cell.



[9]
This record from the Alexandria database describes a PBEsol-optimized structure of Sc2AgCl. The functional is SCAN.

a b c (Å): 6.9407 6.9407 6.9407
angles (deg): 90.00 90.00 90.00
Space group F-43m (No. 216)
Asymmetric unit:
Sc: 0.0000 0.0000 0.0000 (multiplicity 4)
Sc: 0.2500 0.2500 0.2500 (multiplicity 4)
Ag: 0.0000 0.0000 0.5000 (multiplicity 4)
Cl: 0.2500 0.2500 0.7500 (multiplicity 4)

The value obtained for the spin magnetization is 13.92 μB per cell. Its formation energy (no corrections) is 0.166 eV per atom.



[10]
This record from the Alexandria database describes a PBEsol-optimized structure of CuTe2Pb. The functional is SCAN.

a b c (Å): 4.1919 3.7790 7.0565
angles (deg): 90.00 106.83 90.00
Space group P2/m (No. 10)
Asymmetric unit:
Cu: 0.0000 0.0000 0.0000 (multiplicity 1)
Te: 0.1111 0.5000 0.7816 (multiplicity 2)
Pb: 0.5000 0.0000 0.5000 (multiplicity 1)

The value obtained for the spin magnetization is 0.00 μB per cell. Its formation energy (no corrections) is -0.009 eV per atom.



[11]
This record from the Alexandria database describes a PBEsol-optimized structure of Tm3Ga2. The functional is SCAN.

a b c (Å): 11.2633 11.2633 14.4577
angles (deg): 90.00 90.00 90.00
Space group I4/mcm (No. 140)
Asymmetric unit:
Tm: 0.0000 0.5000 0.1467 (multiplicity 8)
Tm: 0.0667 0.2027 0.1354 (multiplicity 32)
Tm: 0.1694 0.3306 0.5000 (multiplicity 8)
Ga: 0.0000 0.0000 0.0000 (multiplicity 4)
Ga: 0.0000 0.0000 0.2500 (multiplicity 4)
Ga: 0.1178 0.3822 0.0000 (multiplicity 8)
Ga: 0.1772 0.3228 0.2984 (multiplicity 16)

The formation energy is -0.632 eV per atom. The value obtained for the spin magnetization is 0.00 μB per cell.



[12]
This record from the Alexandria database describes a PBEsol-optimized structure of InTc2Rh. The functional is SCAN.

a b c (Å): 2.8094 3.8041 5.6889
angles (deg): 90.00 90.00 90.00
Space group Pmm2 (No. 25)
Asymmetric unit:
In: 0.0000 0.0000 0.0000 (multiplicity 1)
Tc: 0.0000 0.0000 0.5069 (multiplicity 1)
Tc: 0.5000 0.5000 0.7055 (multiplicity 1)
Rh: 0.5000 0.5000 0.2448 (multiplicity 1)

The formation energy is 0.059 eV per atom. The value obtained for the spin magnetization is 0.00 μB per cell.



Q: Among the records above, which one has the highest spin magnetization?
A: Sc2AgCl



Q: Among the records above, which one has the highest spin magnetization?
A: Sc2AgCl



Q: Which formula does entry 11 have?
A: Tm3Ga2